Record 1
A relaxed structure of Rb3DyGe2O8. Source: Alexandria, functional PBE-GGA.

Calculated values
Crystal system = trigonal

Geometry as CIF:
```
data_Rb3DyGe2O8
_symmetry_space_group_name_H-M 'P -3 m 1'
_symmetry_Int_Tables_number 164
_symmetry_space_group_name_Hall '-P 3 2"'
_cell_length_a 6.0858
_cell_length_b 6.0858
_cell_length_c 8.0790
_cell_angle_alpha 90.00
_cell_angle_beta 90.00
_cell_angle_gamma 120.00
loop_
_atom_site_label
_atom_site_type_symbol
_atom_site_fract_x
_atom_site_fract_y
_atom_site_fract_z
_atom_site_occupancy
Rb1 Rb 0.0000 0.0000 0.0000 1
Rb2 Rb 0.3333 0.6667 0.7045 1
Dy1 Dy 0.0000 0.0000 0.5000 1
Ge1 Ge 0.3333 0.6667 0.2663 1
O1 O 0.1741 0.3481 0.3363 1
O2 O 0.3333 0.6667 0.0466 1
```

=====

Record 2
A relaxed structure of Rb2DyGe2O6. Source: Alexandria, functional PBE-GGA.

Calculated values
Crystal system = monoclinic

Geometry as CIF:
```
data_Rb2DyGe2O6
_symmetry_space_group_name_H-M 'C 1 2/m 1'
_symmetry_Int_Tables_number 12
_cell_length_a 10.578
_cell_length_b 6.106
_cell_length_c 7.034
_cell_angle_alpha 90.00
_cell_angle_beta 120.25
_cell_angle_gamma 90.00
loop_
_symmetry_equiv_pos_as_xyz
'x,y,z'
'-x,-y,-z'
'-x,y,-z'
'x,-y,z'
'x+1/2,y+1/2,z'
'-x+1/2,-y+1/2,-z'
'-x+1/2,y+1/2,-z'
'x+1/2,-y+1/2,z'
loop_
_atom_site_label
_atom_site_type_symbol
_atom_site_fract_x
_atom_site_fract_y
_atom_site_fract_z
_atom_site_occupancy
Rb1 Rb 0.215 0.000 0.155 1
Dy1 Dy 0.000 0.000 0.500 1
Ge1 Ge 0.068 0.500 0.219 1
O1 O 0.001 0.258 0.269 1
O2 O 0.247 0.000 0.704 1
```

=====

Record 3
A relaxed structure of Rb3Dy3GeO8. Source: Alexandria, functional PBE-GGA.

Calculated values
Crystal system = trigonal

Geometry as CIF:
```
data_Rb3Dy3GeO8
_symmetry_space_group_name_H-M 'R -3 m'
_symmetry_Int_Tables_number 166
_symmetry_space_group_name_Hall '-R 3 2"'
_cell_length_a 6.7618
_cell_length_b 6.7618
_cell_length_c 19.8515
_cell_angle_alpha 90.00
_cell_angle_beta 90.00
_cell_angle_gamma 120.00
loop_
_atom_site_label
_atom_site_type_symbol
_atom_site_fract_x
_atom_site_fract_y
_atom_site_fract_z
_atom_site_occupancy
Rb1 Rb 0.0000 0.5000 0.0000 1
Dy1 Dy 0.0000 0.5000 0.5000 1
Ge1 Ge 0.0000 0.0000 0.5000 1
O1 O 0.0000 0.0000 0.2235 1
O2 O 0.0389 0.5195 0.2203 1
```

=====

Number 1: calculated density 4.4 g cm⁻³, E -5.877 eV/atom, magnetization 2.051 Bohr magnetons per cell. Number 2: calculated density 4.9 g cm⁻³, E -6.165 eV/atom, magnetization 1.796 Bohr magnetons per cell. Number 3: calculated density 6.0 g cm⁻³, E -6.524 eV/atom, magnetization 0.000 Bohr magnetons per cell.